[1]
SnS: relaxed, GGA-PBEsol.

```
SnS
1.0
4.0579 0.0000 0.0000
0.0000 5.7795 0.0000
0.0000 0.0000 4.0408
Sn S
2 2
direct
0.0000 0.2434 0.0000
0.5000 0.7566 0.5000
0.0000 0.7626 0.9989
0.5000 0.2374 0.4989
```

Results
- DOS at the Fermi energy (states/eV/f.u.) = 0.02
- ΔE_f (raw) (eV per atom) = -0.433

[2]
ScSnAu2: relaxed, GGA-PBEsol.

```
ScSnAu2
1.0
1.7730 -6.2670 0.0000
1.7730 6.2670 0.0000
0.0000 0.0000 7.1177
Sc Sn Au
2 2 4
direct
0.0345 0.9655 0.7500
0.9655 0.0345 0.2500
0.2427 0.7573 0.2500
0.7573 0.2427 0.7500
0.3916 0.6084 0.5440
0.3916 0.6084 0.9560
0.6084 0.3916 0.0440
0.6084 0.3916 0.4560
```

Results
- DOS at the Fermi energy (states/eV/f.u.) = 0.92
- energy of formation (eV per atom) = -0.613

[3]
Mn4PtBr: relaxed, GGA-PBEsol.

```
Mn4PtBr
1.0
0.0000 3.3888 3.3888
3.3888 0.0000 3.3888
3.3888 3.3888 0.0000
Mn Pt Br
4 1 1
direct
0.3756 0.3756 0.3756
0.3756 0.3756 0.8733
0.3756 0.8733 0.3756
0.8733 0.3756 0.3756
0.7500 0.7500 0.7500
0.0000 0.0000 0.0000
```

Results
- DOS at the Fermi energy (states/eV/f.u.) = 8.37
- ΔE_f (raw) (eV per atom) = 0.719

[4]
LiGe3Ir: relaxed, GGA-PBEsol.

```
LiGe3Ir
1.0
4.8072 0.0000 0.0000
0.0000 4.8072 0.0000
0.0000 0.0000 4.8072
Li Ge Ir
1 3 1
direct
0.0000 0.0000 0.0000
0.0000 0.5000 0.5000
0.5000 0.0000 0.5000
0.5000 0.5000 0.0000
0.5000 0.5000 0.5000
```

Results
- DOS at the Fermi energy (states/eV/f.u.) = 7.51
- energy of formation (eV per atom) = 0.332
- polymorph energy (0 for the lowest one) (eV per atom) = 0.0000